No. 1
First-principles (GGA-PBE) data for a relaxed Nd3Y6Er2Mg crystal, as listed in Alexandria via LeMat-Bulk.

Lattice parameters (Å, degrees): 6.1985 10.7460 11.7579 90.00 100.21 90.00
Closest atoms and distances in Å follow each position.
Space group C2/m (No. 12)
Symmetry-distinct sites (fractional):
Nd: 0.0000 0.0000 0.0000 (multiplicity 2)  6 Nd 3.57-3.59, 6 Y 3.61
Nd: 0.0000 0.3345 0.0000 (multiplicity 4)  6 Nd 3.56-3.59, 6 Y 3.60-3.63
Y: 0.2464 0.3340 0.7438 (multiplicity 8)  1 Mg 3.49, 2 Er 3.50-3.51, 6 Y 3.57-3.59, 3 Nd 3.61-3.63
Y: 0.2481 0.0000 0.7445 (multiplicity 4)  2 Er 3.50, 1 Mg 3.51, 6 Y 3.57-3.59, 3 Nd 3.60-3.61
Er: 0.0000 0.1663 0.5000 (multiplicity 4)  6 Y 3.50-3.51, 3 Er 3.57-3.58, 3 Mg 3.58-3.59
Mg: 0.0000 0.5000 0.5000 (multiplicity 2)  6 Y 3.49-3.51, 6 Er 3.58-3.59

Properties
DFT total energy = -5.283 eV/atom



No. 2
First-principles (GGA-PBE) data for a relaxed Gd2ScRu crystal, as listed in Alexandria via LeMat-Bulk.

Lattice parameters (Å, degrees): 3.4528 3.4528 8.3520 90.00 90.00 90.00
Closest atoms and distances in Å follow each position.
Space group P4/mmm (No. 123)
Symmetry-distinct sites (fractional):
Gd: 0.0000 0.0000 0.2007 (multiplicity 2)  4 Ru 2.96
Sc: 0.5000 0.5000 0.5000 (multiplicity 1)  4 Sc 3.45, 8 Gd 3.49
Ru: 0.5000 0.5000 0.0000 (multiplicity 1)  8 Gd 2.96

Properties
offset from the most stable computed form = 0.0000 eV per atom
DFT total energy = -11.064 eV/atom



No. 3
First-principles (GGA-PBE) data for a relaxed Ce2CdGa2Rh5 crystal, as listed in Alexandria via LeMat-Bulk.

Lattice parameters (Å, degrees): 9.8092 9.8092 3.6953 90.00 90.00 90.00
Closest atoms and distances in Å follow each position.
Space group P4/mbm (No. 127)
Symmetry-distinct sites (fractional):
Ce: 0.1775 0.3225 0.0000 (multiplicity 4)  3 Ga 2.80-2.98, 6 Rh 3.07-3.08
Cd: 0.0000 0.0000 0.0000 (multiplicity 2)  8 Rh 2.86
Ga: 0.1206 0.6206 0.0000 (multiplicity 4)  6 Rh 2.49-2.53
Rh: 0.0000 0.5000 0.5000 (multiplicity 2)  4 Ga 2.49
Rh: 0.0749 0.7906 0.5000 (multiplicity 8)  2 Ga 2.53

Properties
DFT total energy = -6.221 eV/atom